# 1
This record from the Alexandria database describes VGaCo6 after structural relaxation. The functional is PBE-GGA.

The structure in extended XYZ format:
```
8
Lattice="5.060 0.000 0.000 0.000 5.060 0.000 0.000 0.000 3.527" Properties=species:S:1:pos:R:3 pbc="T T T"
V 0.000 0.000 0.000
Ga 2.530 2.530 0.000
Co 0.000 2.530 0.000
Co 1.242 1.242 1.764
Co 1.242 3.818 1.764
Co 2.530 0.000 0.000
Co 3.818 1.242 1.764
Co 3.818 3.818 1.764
```

Properties
The calculation puts the energy relative to the lowest polymorph listed for this composition at 0.000 eV/atom. The formation energy is -0.114 eV per atom. The total magnetization is 0.6972 μB/atom. The calculation puts the calculated total energy at -55.696 eV/cell.



# 2
This record from the Alexandria database describes VGa3Co2 after structural relaxation. The functional is PBE-GGA.

The structure in extended XYZ format:
```
6
Lattice="2.824 0.000 0.000 0.000 2.824 0.000 0.000 0.000 9.537" Properties=species:S:1:pos:R:3 pbc="T T T"
V 0.000 0.000 0.000
Ga 1.412 1.412 1.805
Ga 1.412 1.412 4.769
Ga 1.412 1.412 7.733
Co 0.000 0.000 3.295
Co 0.000 0.000 6.242
```

Properties
The formation energy is -0.230 eV per atom. The total magnetization is 0.0000 μB/atom. The calculation puts the calculated total energy at -33.792 eV/cell.



# 3
This record from the Alexandria database describes V3GaCo after structural relaxation. The functional is PBE-GGA.

The structure in extended XYZ format:
```
20
Lattice="4.750 -4.993 0.000 4.750 4.993 0.000 -0.614 0.000 6.053" Properties=species:S:1:pos:R:3 pbc="T T T"
V 0.732 0.756 2.451
V 2.783 2.993 5.780
V 0.425 -0.756 5.477
V 2.241 0.560 4.425
V 2.548 -0.560 1.399
V 5.797 2.993 3.299
V 3.090 -2.993 2.754
V 6.339 0.560 4.654
V 6.646 -0.560 1.628
V 8.461 0.756 0.575
V 6.104 -2.993 0.273
V 8.154 -0.756 3.602
Ga 3.209 1.871 2.287
Ga 5.984 1.871 0.739
Ga 2.903 -1.871 5.313
Ga 5.677 -1.871 3.765
Co 4.597 3.716 1.513
Co 4.290 1.659 4.539
Co 4.597 -1.659 1.513
Co 4.290 -3.716 4.539
```

Properties
The calculation puts the energy relative to the lowest polymorph listed for this composition at 0.000 eV/atom. The formation energy is 0.133 eV per atom. The total magnetization is 0.0000 μB/atom. The calculation puts the calculated total energy at -147.297 eV/cell.



# 4
This record from the Alexandria database describes V5GaCo6 after structural relaxation. The functional is PBE-GGA.

The structure in extended XYZ format:
```
12
Lattice="-2.041 2.901 6.123 2.041 -2.901 6.123 2.041 2.901 -6.123" Properties=species:S:1:pos:R:3 pbc="T T T"
V 0.000 0.000 0.000
V 2.041 0.000 2.068
V 0.000 0.000 4.078
V 0.000 0.000 8.168
V 0.000 2.901 4.055
Ga 0.000 2.901 0.000
Co 2.041 -1.460 4.079
Co 2.041 1.407 0.000
Co 0.000 1.441 2.044
Co 2.041 1.460 4.079
Co 0.000 1.494 6.123
Co 0.000 4.362 2.044
```

Properties
The formation energy is -0.136 eV per atom. The total magnetization is 0.8011 μB/atom. The calculation puts the calculated total energy at -92.892 eV/cell.



# 5
This record from the Alexandria database describes V6Ga12Co after structural relaxation. The functional is PBE-GGA.

The structure in extended XYZ format:
```
19
Lattice="4.857 2.804 3.472 -4.857 2.804 3.472 0.000 -5.609 3.472" Properties=species:S:1:pos:R:3 pbc="T T T"
V -2.729 0.716 4.530
V -1.985 -2.005 5.885
V 0.744 -2.721 4.530
V -0.744 2.721 5.885
V 1.985 2.005 4.530
V 2.729 -0.716 5.885
Ga -4.455 -1.195 5.770
Ga -1.192 -4.456 4.645
Ga -1.194 -1.201 3.535
Ga -3.263 3.260 4.645
Ga -0.444 1.634 3.535
Ga 1.637 -0.433 3.535
Ga -1.637 0.433 6.880
Ga 0.444 -1.634 6.880
Ga 3.263 -3.260 5.770
Ga 1.194 1.201 6.880
Ga 1.192 4.456 5.770
Ga 4.455 1.195 4.645
Co 0.000 0.000 5.208
```

Properties
The formation energy is -0.075 eV per atom. The total magnetization is 0.0000 μB/atom. The calculation puts the calculated total energy at -99.562 eV/cell.



# 6
This record from the Alexandria database describes V2GaCo after structural relaxation. The functional is PBE-GGA.

The structure in extended XYZ format:
```
4
Lattice="3.565 0.000 0.000 0.000 3.565 0.000 0.000 0.000 4.001" Properties=species:S:1:pos:R:3 pbc="T T T"
V 0.000 1.783 0.000
V 1.783 0.000 0.000
Ga 0.000 0.000 2.000
Co 1.783 1.783 2.000
```

Properties
The formation energy is -0.192 eV per atom. The total magnetization is 0.1392 μB/atom. The calculation puts the calculated total energy at -29.138 eV/cell.